Density functional theory data (PBE) for crystalline ZrBe10Cr at its relaxed geometry.

a = 3.4397 Å, b = 4.3766 Å, c = 7.6467 Å
α = 90.00°, β = 90.00°, γ = 90.00°
Last column: nearest neighbours and their distance in Å.
Space group Pmmm (No. 47)
Symmetry-distinct sites (fractional):
Zr 0.0000 0.0000 0.0000 (multiplicity 1)  18 Be 2.61-2.86
Be 0.0000 0.0000 0.3477 (multiplicity 2)  6 Be 2.08-2.15
Be 0.0000 0.5000 0.1871 (multiplicity 2)  6 Be 2.11-2.24
Be 0.5000 0.0000 0.5000 (multiplicity 1)  8 Be 2.08-2.13
Be 0.5000 0.2523 0.2621 (multiplicity 4)  8 Be 2.11-2.28
Be 0.5000 0.5000 0.0000 (multiplicity 1)  8 Be 2.24-2.28
Cr 0.0000 0.5000 0.5000 (multiplicity 1)  6 Be 2.39-2.48

N(E_F), states/eV per cell: 3.7
Magnetization, μB/f.u.: 1.96
DFT total energy, eV/atom: -4.74
Crystal system: orthorhombic

---

Density functional theory data (PBE) for crystalline Tb2Pr2Tl7 at its relaxed geometry.

a = 8.9590 Å, b = 11.0595 Å, c = 7.4009 Å
α = 90.00°, β = 90.00°, γ = 90.00°
Last column: nearest neighbours and their distance in Å.
Space group Cmmm (No. 65)
Symmetry-distinct sites (fractional):
Tb 0.0000 0.2057 0.0000 (multiplicity 4)  7 Tl 3.12-3.25
Pr 0.1849 0.5000 0.5000 (multiplicity 4)  6 Tl 3.23-3.24, 1 Pr 3.31
Tl 0.0000 0.0000 0.2891 (multiplicity 4)  1 Tl 3.12, 2 Tb 3.12, 2 Pr 3.23
Tl 0.0000 0.5000 0.0000 (multiplicity 2)  2 Tb 3.25
Tl 0.2500 0.2500 0.2861 (multiplicity 8)  2 Tb 3.12, 1 Tl 3.17, 2 Pr 3.24

N(E_F), states/eV per cell: 16.3
Magnetization, μB/f.u.: 0.00
DFT total energy, eV/atom: -3.18
Crystal system: orthorhombic

---

Density functional theory data (PBE) for crystalline Sr3AlSn at its relaxed geometry.

a = 6.2976 Å, b = 6.2976 Å, c = 6.2976 Å
α = 90.00°, β = 90.00°, γ = 90.00°
Last column: nearest neighbours and their distance in Å.
Space group Pm-3m (No. 221)
Symmetry-distinct sites (fractional):
Sr 0.0000 0.0000 0.5000 (multiplicity 3)  2 Sn 3.15
Al 0.5000 0.5000 0.5000 (multiplicity 1)  12 Sr 4.45
Sn 0.0000 0.0000 0.0000 (multiplicity 1)  6 Sr 3.15

N(E_F), states/eV per cell: 5.1
Magnetization, μB/f.u.: 2.16
DFT total energy, eV/atom: -2.45
Crystal system: cubic
Energy above the lowest structure with this stoichiometry, meV per atom: 325

---

Density functional theory data (PBE) for crystalline KSe2Br at its relaxed geometry.

a = 3.8442 Å, b = 3.8442 Å, c = 8.7907 Å
α = 90.00°, β = 90.00°, γ = 90.00°
Last column: nearest neighbours and their distance in Å.
Space group P4mm (No. 99)
Symmetry-distinct sites (fractional):
K 0.0000 0.0000 0.0000 (multiplicity 1)  4 Br 3.11
Se 0.0000 0.0000 0.3994 (multiplicity 1)  4 Se 2.73
Se 0.5000 0.5000 0.3690 (multiplicity 1)  4 Se 2.73
Br 0.5000 0.5000 0.8290 (multiplicity 1)  4 K 3.11

N(E_F), states/eV per cell: 3.7
Magnetization, μB/f.u.: 0.00
DFT total energy, eV/atom: -3.00
ΔE_f (raw), meV per atom: -564
Crystal system: tetragonal
Energy above the lowest structure with this stoichiometry, meV per atom: 125